(1)
A relaxed structure of Sm5MgSi2. Source: Alexandria via LeMat-Bulk, functional PBE.

Unit cell a=9.355 b=9.355 c=9.355 alpha=131.31 beta=131.31 gamma=71.33
Atoms (fractional coordinates):
Sm: 0.000 0.000 0.000
Sm: 0.039 0.539 0.848
Sm: 0.191 0.039 0.500
Sm: 0.309 0.809 0.848
Sm: 0.461 0.309 0.500
Sm: 0.500 0.500 0.000
Sm: 0.539 0.691 0.500
Sm: 0.691 0.191 0.152
Sm: 0.809 0.961 0.500
Sm: 0.961 0.461 0.152
Mg: 0.250 0.250 0.000
Mg: 0.750 0.750 0.000
Si: 0.118 0.382 0.500
Si: 0.382 0.882 0.264
Si: 0.618 0.118 0.736
Si: 0.882 0.618 0.500

Computed properties:
The value obtained for the total energy is -4.89 eV/atom. The formation energy from raw total energies is -3.05 eV/f.u. As for the volume: 452.3 Å³ per cell.

=====

(2)
A relaxed structure of TbSmMgSi. Source: Alexandria via LeMat-Bulk, functional PBE.

Unit cell a=7.278 b=7.278 c=7.278 alpha=90.00 beta=90.00 gamma=90.00
Atoms (fractional coordinates):
Tb: 0.000 0.000 0.000
Tb: 0.000 0.500 0.500
Tb: 0.500 0.000 0.500
Tb: 0.500 0.500 0.000
Sm: 0.000 0.000 0.500
Sm: 0.000 0.500 0.000
Sm: 0.500 0.000 0.000
Sm: 0.500 0.500 0.500
Mg: 0.250 0.250 0.750
Mg: 0.250 0.750 0.250
Mg: 0.750 0.250 0.250
Mg: 0.750 0.750 0.750
Si: 0.250 0.250 0.250
Si: 0.250 0.750 0.750
Si: 0.750 0.250 0.750
Si: 0.750 0.750 0.250

Computed properties:
The value obtained for the total energy is -4.38 eV/atom. The formation energy from raw total energies is -1.14 eV/f.u. As for the volume: 385.5 Å³ per cell.

=====

(3)
A relaxed structure of Mg4SiSn. Source: Alexandria via LeMat-Bulk, functional PBE.

Unit cell a=8.063 b=8.063 c=8.063 alpha=33.60 beta=33.60 gamma=33.60
Atoms (fractional coordinates):
Mg: 0.121 0.121 0.121
Mg: 0.371 0.371 0.371
Mg: 0.629 0.629 0.629
Mg: 0.879 0.879 0.879
Si: 0.000 0.000 0.000
Sn: 0.500 0.500 0.500

Computed properties:
The value obtained for the total energy is -2.79 eV/atom. As for the energy above the most stable polymorph in this dataset: 4 meV per atom. The formation energy from raw total energies is -0.92 eV/f.u. As for the volume: 143.0 Å³ per cell.

=====

(4)
A relaxed structure of MgSi2Sn2. Source: Alexandria via LeMat-Bulk, functional PBE.

Unit cell a=5.355 b=5.355 c=7.986 alpha=90.00 beta=90.00 gamma=90.00
Atoms (fractional coordinates):
Mg: 0.000 0.000 0.000
Mg: 0.500 0.500 0.500
Si: 0.000 0.000 0.352
Si: 0.000 0.000 0.648
Si: 0.500 0.500 0.148
Si: 0.500 0.500 0.852
Sn: 0.000 0.500 0.250
Sn: 0.000 0.500 0.750
Sn: 0.500 0.000 0.250
Sn: 0.500 0.000 0.750

Computed properties:
The value obtained for the total energy is -3.87 eV/atom. As for the energy above the most stable polymorph in this dataset: 86 meV per atom. The formation energy from raw total energies is 1.08 eV/f.u. As for the volume: 229.0 Å³ per cell.

=====

(5)
A relaxed structure of Mg5Si3Sn12. Source: Alexandria via LeMat-Bulk, functional PBE.

Unit cell a=14.642 b=14.642 c=14.642 alpha=109.47 beta=109.47 gamma=109.47
Atoms (fractional coordinates):
Mg: 0.000 0.000 0.000
Mg: 0.000 0.000 0.500
Mg: 0.000 0.500 0.000
Mg: 0.000 0.500 0.500
Mg: 0.125 0.750 0.875
Mg: 0.125 0.875 0.250
Mg: 0.250 0.125 0.875
Mg: 0.250 0.625 0.375
Mg: 0.375 0.250 0.625
Mg: 0.375 0.625 0.750
Mg: 0.500 0.000 0.000
Mg: 0.500 0.000 0.500
Mg: 0.500 0.500 0.000
Mg: 0.500 0.500 0.500
Mg: 0.625 0.375 0.250
Mg: 0.625 0.750 0.375
Mg: 0.750 0.375 0.625
Mg: 0.750 0.875 0.125
Mg: 0.875 0.125 0.750
Mg: 0.875 0.250 0.125
Si: 0.125 0.250 0.375
Si: 0.125 0.375 0.750
Si: 0.250 0.375 0.125
Si: 0.250 0.875 0.625
Si: 0.375 0.125 0.250
Si: 0.375 0.750 0.125
Si: 0.625 0.250 0.875
Si: 0.625 0.875 0.750
Si: 0.750 0.125 0.375
Si: 0.750 0.625 0.875
Si: 0.875 0.625 0.250
Si: 0.875 0.750 0.625
Sn: 0.065 0.640 0.405
Sn: 0.065 0.926 0.660
Sn: 0.074 0.235 0.140
Sn: 0.074 0.340 0.935
Sn: 0.095 0.735 0.660
Sn: 0.095 0.860 0.435
Sn: 0.140 0.074 0.235
Sn: 0.140 0.565 0.905
Sn: 0.160 0.235 0.595
Sn: 0.160 0.426 0.565
Sn: 0.235 0.140 0.074
Sn: 0.235 0.595 0.160
Sn: 0.265 0.340 0.905
Sn: 0.265 0.426 0.360
Sn: 0.340 0.905 0.265
Sn: 0.340 0.935 0.074
Sn: 0.360 0.265 0.426
Sn: 0.360 0.595 0.935
Sn: 0.405 0.065 0.640
Sn: 0.405 0.840 0.765
Sn: 0.426 0.360 0.265
Sn: 0.426 0.565 0.160
Sn: 0.435 0.095 0.860
Sn: 0.435 0.840 0.574
Sn: 0.565 0.160 0.426
Sn: 0.565 0.905 0.140
Sn: 0.574 0.435 0.840
Sn: 0.574 0.640 0.735
Sn: 0.595 0.160 0.235
Sn: 0.595 0.935 0.360
Sn: 0.640 0.405 0.065
Sn: 0.640 0.735 0.574
Sn: 0.660 0.065 0.926
Sn: 0.660 0.095 0.735
Sn: 0.735 0.574 0.640
Sn: 0.735 0.660 0.095
Sn: 0.765 0.405 0.840
Sn: 0.765 0.860 0.926
Sn: 0.840 0.574 0.435
Sn: 0.840 0.765 0.405
Sn: 0.860 0.435 0.095
Sn: 0.860 0.926 0.765
Sn: 0.905 0.140 0.565
Sn: 0.905 0.265 0.340
Sn: 0.926 0.660 0.065
Sn: 0.926 0.765 0.860
Sn: 0.935 0.074 0.340
Sn: 0.935 0.360 0.595

Computed properties:
The value obtained for the total energy is -3.36 eV/atom. The formation energy from raw total energies is 5.08 eV/f.u. As for the volume: 2416.4 Å³ per cell.

=====

(6)
A relaxed structure of MgSi3Sn. Source: Alexandria via LeMat-Bulk, functional PBE.

Unit cell a=4.921 b=4.921 c=4.921 alpha=90.00 beta=90.00 gamma=90.00
Atoms (fractional coordinates):
Mg: 0.000 0.000 0.000
Si: 0.000 0.000 0.500
Si: 0.000 0.500 0.000
Si: 0.500 0.000 0.000
Sn: 0.500 0.500 0.500

Computed properties:
The value obtained for the total energy is -3.36 eV/atom. As for the energy above the most stable polymorph in this dataset: 0 meV per atom. The formation energy from raw total energies is 5.06 eV/f.u. As for the volume: 119.1 Å³ per cell.